This record from the Alexandria database describes a geometry-optimized SiBi structure. The functional is GGA-PBE.

a b c (Å): 12.2657 12.2657 4.4403
angles (deg): 90.00 90.00 90.00
Closest atoms and distances in Å follow each position.
Fractional coordinates of all 16 atoms:
Si: 0.7739 0.5763 0.5000  4 Bi 2.82-2.93
Si: 0.2261 0.4237 0.5000  4 Bi 2.82-2.93
Si: 0.4237 0.7739 0.5000  4 Bi 2.82-2.93
Si: 0.5763 0.2261 0.5000  4 Bi 2.82-2.93
Si: 0.8933 0.4304 0.0000  4 Bi 2.80-2.83, 1 Si 3.13
Si: 0.1067 0.5696 0.0000  4 Bi 2.80-2.83, 1 Si 3.13
Si: 0.5696 0.8933 0.0000  4 Bi 2.80-2.83, 1 Si 3.13
Si: 0.4304 0.1067 0.0000  4 Bi 2.80-2.83, 1 Si 3.13
Bi: 0.7823 0.3466 0.5000  4 Si 2.80-2.93
Bi: 0.2177 0.6534 0.5000  4 Si 2.80-2.93
Bi: 0.6534 0.7823 0.5000  4 Si 2.80-2.93
Bi: 0.3466 0.2177 0.5000  4 Si 2.80-2.93
Bi: 0.8934 0.6584 0.0000  4 Si 2.80-2.84
Bi: 0.1066 0.3416 0.0000  4 Si 2.80-2.84
Bi: 0.3416 0.8934 0.0000  4 Si 2.80-2.84
Bi: 0.6584 0.1066 0.0000  4 Si 2.80-2.84

Properties
Calculated volume, Å³ per cell: 668
ΔE_f (raw), eV per formula unit: 1.10

=====

This record from the Alexandria database describes a geometry-optimized SrEr2OsN4 structure. The functional is GGA-PBE.

a b c (Å): 3.4580 6.1950 12.0300
angles (deg): 90.00 90.00 106.21
Closest atoms and distances in Å follow each position.
Fractional coordinates of all 16 atoms:
Sr: 0.0721 0.1441 0.7500  2 N 2.71
Sr: 0.9279 0.8559 0.2500  2 N 2.71
Er: 0.3703 0.7405 0.5417  5 N 2.24-2.43
Er: 0.6297 0.2595 0.0417  5 N 2.24-2.43
Er: 0.6297 0.2595 0.4583  5 N 2.24-2.43
Er: 0.3703 0.7405 0.9583  5 N 2.24-2.43
Os: 0.8118 0.6237 0.7500  4 N 1.90-2.00
Os: 0.1882 0.3763 0.2500  4 N 1.90-2.00
N: 0.2571 0.5142 0.1075  1 Os 1.90
N: 0.7429 0.4858 0.6075  1 Os 1.90
N: 0.7429 0.4858 0.8925  1 Os 1.90
N: 0.2571 0.5142 0.3925  1 Os 1.90
N: 0.0000 0.0000 0.5000  4 Er 2.37
N: 0.0000 0.0000 0.0000  4 Er 2.37
N: 0.3969 0.7937 0.7500  2 Os 2.00
N: 0.6031 0.2063 0.2500  2 Os 2.00

Properties
Calculated volume, Å³ per cell: 247
ΔE_f (raw), eV per formula unit: -7.18

=====

This record from the Alexandria database describes a geometry-optimized YTeRhI2 structure. The functional is GGA-PBE.

a b c (Å): 5.2899 5.2899 5.3863
angles (deg): 90.00 90.00 90.00
Closest atoms and distances in Å follow each position.
Fractional coordinates of all 5 atoms:
I: 0.0000 0.5000 0.0000  2 Rh 2.64
I: 0.5000 0.0000 0.0000  2 Rh 2.64
Y: 0.5000 0.5000 0.5000  4 Te 3.74, 8 I 3.77
Te: 0.0000 0.0000 0.5000  2 Rh 2.69
Rh: 0.0000 0.0000 0.0000  4 I 2.64, 2 Te 2.69

Properties
Calculated volume, Å³ per cell: 151
ΔE_f (raw), eV per formula unit: -0.97

=====

This record from the Alexandria database describes a geometry-optimized ThGa6I12 structure. The functional is GGA-PBE.

a b c (Å): 9.9684 9.9684 9.9684
angles (deg): 70.15 70.15 70.15
Closest atoms and distances in Å follow each position.
Fractional coordinates of all 19 atoms:
Th: 0.0000 0.0000 0.0000  6 I 3.08
Ga: 0.1222 0.3182 0.4347  3 I 2.82-3.04, 2 Ga 3.13
Ga: 0.6818 0.5653 0.8778  3 I 2.82-3.04, 2 Ga 3.13
Ga: 0.5653 0.8778 0.6818  3 I 2.82-3.04, 2 Ga 3.13
Ga: 0.8778 0.6818 0.5653  3 I 2.82-3.04, 2 Ga 3.13
Ga: 0.3182 0.4347 0.1222  3 I 2.82-3.04, 2 Ga 3.13
Ga: 0.4347 0.1222 0.3182  3 I 2.82-3.04, 2 Ga 3.13
I: 0.5957 0.1555 0.4841  2 Ga 2.82-2.85
I: 0.1555 0.4841 0.5957  2 Ga 2.82-2.85
I: 0.4841 0.5957 0.1555  2 Ga 2.82-2.85
I: 0.4043 0.8445 0.5159  2 Ga 2.82-2.85
I: 0.8445 0.5159 0.4043  2 Ga 2.82-2.85
I: 0.5159 0.4043 0.8445  2 Ga 2.82-2.85
I: 0.9626 0.1041 0.6833  1 Ga 3.04, 1 Th 3.08
I: 0.3167 0.0374 0.8959  1 Ga 3.04, 1 Th 3.08
I: 0.8959 0.3167 0.0374  1 Ga 3.04, 1 Th 3.08
I: 0.0374 0.8959 0.3167  1 Ga 3.04, 1 Th 3.08
I: 0.6833 0.9626 0.1041  1 Ga 3.04, 1 Th 3.08
I: 0.1041 0.6833 0.9626  1 Ga 3.04, 1 Th 3.08

Properties
Calculated volume, Å³ per cell: 848
ΔE_f (raw), eV per formula unit: -9.34

=====

This record from the Alexandria database describes a geometry-optimized BaNaHg structure. The functional is GGA-PBE.

a b c (Å): 4.2624 4.2624 6.6499
angles (deg): 108.69 108.69 90.00
Closest atoms and distances in Å follow each position.
Fractional coordinates of all 3 atoms:
Na: 0.3097 0.3097 0.6193  4 Hg 3.38, 1 Ba 3.46
Hg: 0.9390 0.9390 0.8781  4 Na 3.38, 4 Ba 3.58
Ba: 0.6013 0.6013 0.2026  1 Na 3.46, 4 Hg 3.58

Properties
Calculated volume, Å³ per cell: 108
E_tot, eV per cell: -4.35

=====

This record from the Alexandria database describes a geometry-optimized BaMg4Si3 structure. The functional is GGA-PBE.

a b c (Å): 4.6269 4.6269 8.6132
angles (deg): 90.00 90.00 90.00
Closest atoms and distances in Å follow each position.
Fractional coordinates of all 8 atoms:
Ba: 0.0000 0.0000 0.0000  8 Si 3.49, 8 Mg 3.58
Mg: 0.0000 0.5000 0.3178  4 Si 2.77-2.80
Mg: 0.5000 0.0000 0.3178  4 Si 2.77-2.80
Mg: 0.0000 0.5000 0.6822  4 Si 2.77-2.80
Mg: 0.5000 0.0000 0.6822  4 Si 2.77-2.80
Si: 0.0000 0.0000 0.5000  8 Mg 2.80
Si: 0.5000 0.5000 0.1420  1 Si 2.45
Si: 0.5000 0.5000 0.8580  1 Si 2.45

Properties
Calculated volume, Å³ per cell: 184
ΔE_f (raw), eV per formula unit: -2.24